No. 1
# Th2CuRe

A geometry-optimized Th2CuRe structure (GGA-PBE, Alexandria).

V   23.2 Å³ per atom
Density of states at the Fermi level   3.81 states/eV/f.u.
Energy of formation from the pure elements   0.01 eV/atom
SG   P4/mmm, No. 123

abc: 3.503 3.503 7.559
angles: 90.00 90.00 90.00
Element x y z (fractional)
Re: 0.500 0.500 0.000
Cu: 0.500 0.500 0.500
Th: 0.000 0.000 0.761
Th: 0.000 0.000 0.239

No. 2
# PrHgSO6

A geometry-optimized PrHgSO6 structure (GGA-PBE, Alexandria).

V   16.8 Å³ per atom
Density of states at the Fermi level   2.88 states/eV/f.u.
SG   P1, No. 1
Raw formation energy   -1.556 eV/atom

abc: 6.856 5.440 4.980
angles: 92.01 109.24 60.81
Each line ends with the local moment (μB).
Element x y z (fractional)
Pr: 0.659 0.575 0.730  -0.01
Hg: 0.170 0.845 0.989  0.05
S: 0.165 0.373 0.460  0.00
O: 0.988 0.500 0.603  0.01
O: 0.325 0.064 0.571  0.01
O: 0.811 0.076 0.828  0.41
O: 0.307 0.519 0.523  0.00
O: 0.532 0.631 0.150  0.34
O: 0.042 0.416 0.146  0.01